Arrangement 1

## Hg2PI (PBE)

Data for a relaxed Hg2PI crystal.

Lattice parameters (Å, degrees): 7.5424 7.5424 8.7290 90.00 90.00 120.00
Fractional positions:
Hg 0.8268 0.2595 0.9950
Hg 0.4327 0.1732 0.6617
Hg 0.7405 0.5673 0.3283
Hg 0.2595 0.8268 0.0050
Hg 0.1732 0.4327 0.3383
Hg 0.5673 0.7405 0.6717
P 0.4424 0.4424 0.5000
P 0.0000 0.5576 0.1667
P 0.5576 0.0000 0.8333
I 0.2662 0.2662 0.0000
I 0.0000 0.7338 0.6667
I 0.7338 0.0000 0.3333

Values from the calculation:
calculated density	6476	kg/m³
total magnetic moment	0.0	Bohr magnetons per cell
space-group type	P3_121 (152)

---

Arrangement 2

## Hg2PI (PBE)

Data for a relaxed Hg2PI crystal.

Lattice parameters (Å, degrees): 5.5358 4.5921 5.7906 90.00 115.54 90.00
Fractional positions:
Hg 0.0441 0.0000 0.8755
Hg 0.4114 0.0000 0.5789
P 0.3270 0.5000 0.3824
I 0.7114 0.5000 0.2515

Values from the calculation:
calculated density	6990	kg/m³
total magnetic moment	0.0	Bohr magnetons per cell
space-group type	Pm (6)

---

Arrangement 3

## Hg2PI (PBE)

Data for a relaxed Hg2PI crystal.

Lattice parameters (Å, degrees): 5.6306 7.1326 8.4205 69.86 86.19 88.97
Fractional positions:
Hg 0.1050 0.2749 0.3833
Hg 0.8950 0.7251 0.6167
Hg 0.4380 0.9814 0.1611
Hg 0.5620 0.0186 0.8389
P 0.6690 0.0401 0.5388
P 0.3310 0.9599 0.4612
I 0.0689 0.3487 0.7783
I 0.9311 0.6513 0.2217

Values from the calculation:
calculated density	5861	kg/m³
total magnetic moment	0.0	Bohr magnetons per cell
space-group type	P-1 (2)

---

Arrangement 4

## Hg2PI (PBE)

Data for a relaxed Hg2PI crystal.

Lattice parameters (Å, degrees): 4.5793 7.3534 8.7575 102.39 90.00 90.20
Fractional positions:
Hg 0.9975 0.7351 0.4189
Hg 0.0025 0.2649 0.5811
Hg 0.4999 0.9865 0.1496
Hg 0.5001 0.0135 0.8504
P 0.5014 0.1229 0.5966
P 0.4986 0.8771 0.4034
I 0.9981 0.6621 0.7550
I 0.0019 0.3379 0.2450

Values from the calculation:
calculated density	6446	kg/m³
total magnetic moment	0.0	Bohr magnetons per cell
space-group type	P-1 (2)

---

arrangement 1 comes first in stability; the runner-up is 0.009 eV/atom higher.

---

Arrangement 1

## Hg2PI (PBE)

Data for a relaxed Hg2PI crystal.

Lattice parameters (Å, degrees): 4.4765 7.2622 8.6604 72.57 77.57 89.43
Fractional positions:
Hg 0.7852 0.1837 0.6635
Hg 0.2148 0.8163 0.3365
Hg 0.8664 0.6566 0.0324
Hg 0.1336 0.3434 0.9676
P 0.6359 0.9546 0.0964
P 0.3641 0.0454 0.9036
I 0.7207 0.7070 0.6021
I 0.2793 0.2930 0.3979

Values from the calculation:
calculated density	7090	kg/m³
total magnetic moment	0.0	Bohr magnetons per cell
space-group type	P-1 (2)

---

Arrangement 2

## Hg2PI (PBE)

Data for a relaxed Hg2PI crystal.

Lattice parameters (Å, degrees): 8.3144 4.4390 7.6768 90.00 108.09 90.00
Fractional positions:
Hg 0.1646 0.0000 0.6629
Hg 0.1646 0.5000 0.1629
Hg 0.4971 0.0000 0.1102
Hg 0.4971 0.5000 0.6102
P 0.4760 0.0000 0.7694
P 0.4760 0.5000 0.2694
I 0.9505 0.0000 0.2587
I 0.9505 0.5000 0.7587

Values from the calculation:
calculated density	6894	kg/m³
total magnetic moment	0.0	Bohr magnetons per cell
space-group type	Cm (8)

---

arrangement 1 comes first in stability; the runner-up is 0.025 eV/atom higher.

---

Arrangement 1

## Hg3PI (PBE)

Data for a relaxed Hg3PI crystal.

Lattice parameters (Å, degrees): 6.5739 6.5739 6.5739 90.00 90.00 90.00
Fractional positions:
I 0.0000 0.0000 0.0000
P 0.5000 0.5000 0.5000
Hg 0.0000 0.5000 0.0000
Hg 0.0000 0.0000 0.5000
Hg 0.5000 0.0000 0.0000

Values from the calculation:
calculated density	4440	kg/m³
total magnetic moment	2.8	Bohr magnetons per cell
space-group type	Pm-3m (221)

---

Arrangement 2

## Hg3PI (PBE)

Data for a relaxed Hg3PI crystal.

Lattice parameters (Å, degrees): 5.2711 5.2711 5.2711 90.00 90.00 90.00
Fractional positions:
I 0.5000 0.5000 0.5000
P 0.0000 0.0000 0.0000
Hg 0.0000 0.5000 0.0000
Hg 0.0000 0.0000 0.5000
Hg 0.5000 0.0000 0.0000

Values from the calculation:
calculated density	8613	kg/m³
total magnetic moment	0.0	Bohr magnetons per cell
space-group type	Pm-3m (221)

---

arrangement 2 comes first in stability; the runner-up is 0.834 eV/atom higher.

---

Arrangement 1

## HgPI2 (PBE)

Data for a relaxed HgPI2 crystal.

Lattice parameters (Å, degrees): 8.6758 8.6758 8.6670 59.97 59.97 90.00
Fractional positions:
I 0.3744 0.1250 0.2500
I 0.3756 0.6250 0.2500
I 0.3750 0.6256 0.7500
I 0.8750 0.6244 0.7500
P 0.5000 0.5000 0.0000
P 0.2500 0.7500 0.5000
Hg 0.0000 0.0000 0.0000
Hg 0.7500 0.2500 0.5000

Values from the calculation:
calculated density	3498	kg/m³
total magnetic moment	0.0	Bohr magnetons per cell
space-group type	I-42d (122)

---

Arrangement 2

## HgPI2 (PBE)

Data for a relaxed HgPI2 crystal.

Lattice parameters (Å, degrees): 5.3883 5.3883 5.3883 60.00 60.00 60.00
Fractional positions:
I 0.2500 0.2500 0.2500
I 0.7500 0.7500 0.7500
P 0.0000 0.0000 0.0000
Hg 0.5000 0.5000 0.5000

Values from the calculation:
calculated density	7286	kg/m³
total magnetic moment	0.0	Bohr magnetons per cell
space-group type	Fm-3m (225)

---

arrangement 1 comes first in stability; the runner-up is 0.491 eV/atom higher.

---

Arrangement 1

## HgPS2I (PBE)

Data for a relaxed HgPS2I crystal.

Lattice parameters (Å, degrees): 4.9291 4.9291 5.3114 90.00 90.00 90.00
Fractional positions:
I 0.5000 0.5000 0.5000
P 0.0000 0.0000 0.5000
S 0.0000 0.5000 0.0000
S 0.5000 0.0000 0.0000
Hg 0.0000 0.0000 0.0000

Values from the calculation:
calculated density	5438	kg/m³
total magnetic moment	0.0	Bohr magnetons per cell
space-group type	P4/mmm (123)

---

Arrangement 2

## HgPS2I (PBE)

Data for a relaxed HgPS2I crystal.

Lattice parameters (Å, degrees): 5.0883 5.0883 5.3848 90.00 90.00 90.00
Fractional positions:
I 0.0000 0.0000 0.0000
P 0.0000 0.0000 0.5000
S 0.0000 0.5000 0.0000
S 0.5000 0.0000 0.0000
Hg 0.5000 0.5000 0.5000

Values from the calculation:
calculated density	5033	kg/m³
total magnetic moment	0.8	Bohr magnetons per cell
space-group type	P4/mmm (123)

---

arrangement 1 comes first in stability; the runner-up is 0.020 eV/atom higher.

---

Arrangement 1

## HgSb2PI (PBE)

Data for a relaxed HgSb2PI crystal.

Lattice parameters (Å, degrees): 5.3649 5.3649 5.4536 90.00 90.00 90.00
Fractional positions:
I 0.0000 0.0000 0.5000
Sb 0.0000 0.5000 0.0000
Sb 0.5000 0.0000 0.0000
Hg 0.5000 0.5000 0.5000
P 0.0000 0.0000 0.0000

Values from the calculation:
calculated density	6368	kg/m³
total magnetic moment	0.9	Bohr magnetons per cell
space-group type	P4/mmm (123)

---

Arrangement 2

## HgSb2PI (PBE)

Data for a relaxed HgSb2PI crystal.

Lattice parameters (Å, degrees): 5.5891 5.5891 5.5932 90.00 90.00 90.00
Fractional positions:
I 0.0000 0.0000 0.5000
Sb 0.0000 0.5000 0.0000
Sb 0.5000 0.0000 0.0000
Hg 0.0000 0.0000 0.0000
P 0.5000 0.5000 0.5000

Values from the calculation:
calculated density	5721	kg/m³
total magnetic moment	0.0	Bohr magnetons per cell
space-group type	P4/mmm (123)

---

arrangement 1 comes first in stability; the runner-up is 0.634 eV/atom higher.

---

Arrangement 1

## HgTe2PI (PBE)

Data for a relaxed HgTe2PI crystal.

Lattice parameters (Å, degrees): 5.7017 5.7017 5.8111 90.00 90.00 90.00
Fractional positions:
I 0.0000 0.0000 0.5000
P 0.5000 0.5000 0.5000
Te 0.0000 0.5000 0.0000
Te 0.5000 0.0000 0.0000
Hg 0.0000 0.0000 0.0000

Values from the calculation:
calculated density	5394	kg/m³
total magnetic moment	1.0	Bohr magnetons per cell
space-group type	P4/mmm (123)

---

Arrangement 2

## HgTe2PI (PBE)

Data for a relaxed HgTe2PI crystal.

Lattice parameters (Å, degrees): 5.3945 5.3945 5.4017 90.00 90.00 90.00
Fractional positions:
I 0.0000 0.0000 0.5000
P 0.0000 0.0000 0.0000
Te 0.0000 0.5000 0.0000
Te 0.5000 0.0000 0.0000
Hg 0.5000 0.5000 0.5000

Values from the calculation:
calculated density	6483	kg/m³
total magnetic moment	0.0	Bohr magnetons per cell
space-group type	P4/mmm (123)

---

arrangement 2 comes first in stability; the runner-up is 0.629 eV/atom higher.

---

Arrangement 1

## PaHg2I6 (PBE)

Data for a relaxed PaHg2I6 crystal.

Lattice parameters (Å, degrees): 8.0552 8.6756 8.6756 60.22 59.90 59.90
Fractional positions:
Pa 0.0000 0.0000 0.0000
Hg 0.8082 0.7519 0.7519
Hg 0.1918 0.2481 0.2481
I 0.1781 0.3005 0.8217
I 0.3700 0.7730 0.7730
I 0.1781 0.8217 0.3005
I 0.8219 0.6995 0.1783
I 0.6300 0.2270 0.2270
I 0.8219 0.1783 0.6995

Values from the calculation:
calculated density	5398	kg/m³
total magnetic moment	0.0	Bohr magnetons per cell
space-group type	C2/m (12)

---

Arrangement 2

## PaHg2I6 (PBE)

Data for a relaxed PaHg2I6 crystal.

Lattice parameters (Å, degrees): 7.5638 11.2475 12.1339 90.00 104.70 90.00
Fractional positions:
Pa 0.5000 0.5000 0.0000
Pa 0.0000 0.0000 0.5000
Hg 0.0308 0.7132 0.7622
Hg 0.4692 0.2132 0.7378
Hg 0.5308 0.7868 0.2622
Hg 0.9692 0.2868 0.2378
I 0.0891 0.9313 0.2872
I 0.1911 0.2377 0.4946
I 0.1537 0.3990 0.8699
I 0.3463 0.8990 0.6301
I 0.3089 0.7377 0.0054
I 0.4109 0.4313 0.2128
I 0.9109 0.0687 0.7128
I 0.8089 0.7623 0.5054
I 0.8463 0.6010 0.1301
I 0.6537 0.1010 0.3699
I 0.6911 0.2623 0.9946
I 0.5891 0.5687 0.7872

Values from the calculation:
calculated density	4635	kg/m³
total magnetic moment	0.0	Bohr magnetons per cell
space-group type	P2_1/c (14)

---

arrangement 2 comes first in stability; the runner-up is 0.022 eV/atom higher.

---

Arrangement 1

## Hg2PbI2 (PBE)

Data for a relaxed Hg2PbI2 crystal.

Lattice parameters (Å, degrees): 8.4831 8.4831 6.9893 90.00 90.00 90.00
Fractional positions:
Pb 0.0000 0.0000 0.0000
Pb 0.5000 0.5000 0.0000
I 0.3284 0.8284 0.0000
I 0.8284 0.6716 0.0000
I 0.6716 0.1716 0.0000
I 0.1716 0.3284 0.0000
Hg 0.1389 0.6389 0.5000
Hg 0.6389 0.8611 0.5000
Hg 0.8611 0.3611 0.5000
Hg 0.3611 0.1389 0.5000

Values from the calculation:
calculated density	5693	kg/m³
total magnetic moment	0.0	Bohr magnetons per cell
space-group type	P4/mbm (127)

---

Arrangement 2

## Hg2PbI2 (PBE)

Data for a relaxed Hg2PbI2 crystal.

Lattice parameters (Å, degrees): 4.1759 4.1759 11.0447 79.10 79.10 90.00
Fractional positions:
Pb 0.0000 0.0000 0.0000
I 0.4114 0.4114 0.1772
I 0.5886 0.5886 0.8228
Hg 0.7500 0.2500 0.5000
Hg 0.2500 0.7500 0.5000

Values from the calculation:
calculated density	7714	kg/m³
total magnetic moment	0.0	Bohr magnetons per cell
space-group type	I4/mmm (139)

---

arrangement 2 comes first in stability; the runner-up is 0.088 eV/atom higher.

---

Arrangement 1

## HgPbI (PBE)

Data for a relaxed HgPbI crystal.

Lattice parameters (Å, degrees): 3.8319 5.6024 5.6024 120.00 90.00 90.00
Fractional positions:
Pb 0.0727 0.0000 0.0000
I 0.2215 0.3333 0.6667
Hg 0.7058 0.6667 0.3333

Values from the calculation:
calculated density	8524	kg/m³
total magnetic moment	0.0	Bohr magnetons per cell
space-group type	P3m1 (156)

---

Arrangement 2

## HgPbI (PBE)

Data for a relaxed HgPbI crystal.

Lattice parameters (Å, degrees): 4.4095 4.4095 6.8499 108.78 108.78 90.00
Fractional positions:
Pb 0.5880 0.5880 0.1760
I 0.3452 0.3452 0.6904
Hg 0.0668 0.0668 0.1335

Values from the calculation:
calculated density	7487	kg/m³
total magnetic moment	0.0	Bohr magnetons per cell
space-group type	I4mm (107)

---

arrangement 2 comes first in stability; the runner-up is 0.063 eV/atom higher.

---

Arrangement 1

## HgSb2PbI (PBE)

Data for a relaxed HgSb2PbI crystal.

Lattice parameters (Å, degrees): 5.5146 5.5146 6.1959 90.00 90.00 90.00
Fractional positions:
Pb 0.5000 0.5000 0.5000
I 0.0000 0.0000 0.5000
Hg 0.0000 0.0000 0.0000
Sb 0.0000 0.5000 0.0000
Sb 0.5000 0.0000 0.0000

Values from the calculation:
calculated density	6858	kg/m³
total magnetic moment	0.6	Bohr magnetons per cell
space-group type	P4/mmm (123)

---

Arrangement 2

## HgSb2PbI (PBE)

Data for a relaxed HgSb2PbI crystal.

Lattice parameters (Å, degrees): 5.9972 5.9972 6.3006 90.00 90.00 90.00
Fractional positions:
Pb 0.0000 0.0000 0.0000
I 0.0000 0.0000 0.5000
Hg 0.5000 0.5000 0.5000
Sb 0.0000 0.5000 0.0000
Sb 0.5000 0.0000 0.0000

Values from the calculation:
calculated density	5703	kg/m³
total magnetic moment	2.3	Bohr magnetons per cell
space-group type	P4/mmm (123)

---

arrangement 1 comes first in stability; the runner-up is 0.041 eV/atom higher.

---

Arrangement 1

## HgTe2PbI (PBE)

Data for a relaxed HgTe2PbI crystal.

Lattice parameters (Å, degrees): 5.6427 5.6427 5.8726 90.00 90.00 90.00
Fractional positions:
Pb 0.5000 0.5000 0.5000
I 0.0000 0.0000 0.5000
Te 0.0000 0.5000 0.0000
Te 0.5000 0.0000 0.0000
Hg 0.0000 0.0000 0.0000

Values from the calculation:
calculated density	7015	kg/m³
total magnetic moment	0.0	Bohr magnetons per cell
space-group type	P4/mmm (123)

---

Arrangement 2

## HgTe2PbI (PBE)

Data for a relaxed HgTe2PbI crystal.

Lattice parameters (Å, degrees): 5.9480 5.9480 6.1954 90.00 90.00 90.00
Fractional positions:
Pb 0.0000 0.0000 0.0000
I 0.0000 0.0000 0.5000
Te 0.0000 0.5000 0.0000
Te 0.5000 0.0000 0.0000
Hg 0.5000 0.5000 0.5000

Values from the calculation:
calculated density	5984	kg/m³
total magnetic moment	0.0	Bohr magnetons per cell
space-group type	P4/mmm (123)

---

arrangement 1 comes first in stability; the runner-up is 0.068 eV/atom higher.